{
  "formula": "NbCo2Si2",
  "functional": "PBE",
  "state": "optimized geometry",
  "lattice": [[6.880, 0.000, 0.000], [0.000, 6.880, 0.000], [0.000, 0.000, 2.617]],
  "species": ["Nb", "Nb", "Co", "Co", "Co", "Co", "Si", "Si", "Si", "Si"],
  "frac_coords": [[0.000, 0.000, 0.000], [0.500, 0.500, 0.000], [0.149, 0.351, 0.500], [0.351, 0.851, 0.500], [0.649, 0.149, 0.500], [0.851, 0.649, 0.500], [0.144, 0.644, 0.000], [0.356, 0.144, 0.000], [0.644, 0.856, 0.000], [0.856, 0.356, 0.000]],
  "vol_a3_per_atom": 12.4,
  "space_group": "P4/mbm (127)",
  "magmom_total_mub_per_atom": 0.000,
  "e_form_raw_ev_per_atom": -0.4880
}